Density functional theory data (GGA-PBE) for crystalline ZnIn2Au at its relaxed geometry.

* ΔH_f (0 K): -0.060 eV per atom

Cell lengths 8.640, 3.474, 6.084 Å; angles 90.00, 102.68, 90.00 degrees
Space group Cm (No. 8)
One atom of each set of equivalent atoms:
Zn (0.000, 0.000, 0.000) x2
In (0.021, 0.500, 0.583) x2
In (0.253, 0.500, 0.263) x2
Au (0.268, 0.000, 0.845) x2



Density functional theory data (GGA-PBE) for crystalline ZnIn2Au at its relaxed geometry.

* ΔH_f (0 K): -0.047 eV per atom

Cell lengths 3.188, 3.413, 8.030 Å; angles 90.00, 90.00, 90.00 degrees
Space group Pmm2 (No. 25)
One atom of each set of equivalent atoms:
Zn (0.000, 0.000, 0.000) x1
In (0.000, 0.000, 0.427) x1
In (0.500, 0.500, 0.748) x1
Au (0.500, 0.500, 0.174) x1



Density functional theory data (GGA-PBE) for crystalline ZnInAu6 at its relaxed geometry.

* ΔH_f (0 K): -0.079 eV per atom
* energy above the lowest structure with this stoichiometry: 0.018 eV per atom

Cell lengths 6.458, 7.705, 11.726 Å; angles 90.00, 90.00, 90.00 degrees
Space group Fmmm (No. 69)
One atom of each set of equivalent atoms:
Zn (0.000, 0.000, 0.000) x4
In (0.000, 0.000, 0.500) x4
Au (0.000, 0.000, 0.243) x8
Au (0.250, 0.250, 0.123) x16



Density functional theory data (GGA-PBE) for crystalline ZnIn2Au at its relaxed geometry.

* ΔH_f (0 K): 0.004 eV per atom

Cell lengths 3.306, 3.306, 7.971 Å; angles 90.00, 90.00, 90.00 degrees
Space group P4/mmm (No. 123)
One atom of each set of equivalent atoms:
Zn (0.000, 0.000, 0.000) x1
In (0.500, 0.500, 0.258) x2
Au (0.000, 0.000, 0.500) x1



Density functional theory data (GGA-PBE) for crystalline Zn2InAu2 at its relaxed geometry.

* ΔH_f (0 K): -0.126 eV per atom
* energy above the lowest structure with this stoichiometry: 0.037 eV per atom

Cell lengths 5.605, 5.947, 7.172 Å; angles 69.25, 71.46, 61.96 degrees
Space group P-1 (No. 2)
One atom of each set of equivalent atoms:
Zn (0.113, 0.308, 0.294) x2
Zn (0.160, 0.971, 0.662) x2
In (0.442, 0.670, 0.142) x2
Au (0.088, 0.210, 0.969) x2
Au (0.364, 0.326, 0.538) x2



Density functional theory data (GGA-PBE) for crystalline Zn3InAu2 at its relaxed geometry.

* ΔH_f (0 K): -0.111 eV per atom

Cell lengths 18.254, 4.035, 9.774 Å; angles 90.00, 108.28, 90.00 degrees
Space group C2/m (No. 12)
One atom of each set of equivalent atoms:
Zn (0.000, 0.000, 0.000) x2
Zn (0.043, 0.500, 0.857) x4
Zn (0.111, 0.000, 0.712) x4
Zn (0.196, 0.000, 0.464) x4
Zn (0.208, 0.500, 0.906) x4
In (0.000, 0.500, 0.500) x2
In (0.146, 0.500, 0.226) x4
Au (0.043, 0.000, 0.310) x4
Au (0.142, 0.000, 0.005) x4
Au (0.178, 0.500, 0.625) x4



Density functional theory data (GGA-PBE) for crystalline ZnInAu at its relaxed geometry.

* ΔH_f (0 K): -0.074 eV per atom

Cell lengths 4.4217, 4.4217, 3.7126 Å; angles 90.00, 90.00, 120.00 degrees
Space group P3m1 (No. 156)
One atom of each set of equivalent atoms:
Zn (0.0000, 0.0000, 0.0000) x1
In (0.6667, 0.3333, 0.5524) x1
Au (0.3333, 0.6667, 0.1303) x1



Density functional theory data (GGA-PBE) for crystalline Zn2In2Au at its relaxed geometry.

* ΔH_f (0 K): 0.111 eV per atom
* energy above the lowest structure with this stoichiometry: 0.130 eV per atom

Cell lengths 7.784, 7.784, 3.562 Å; angles 90.00, 90.00, 90.00 degrees
Space group P4/mbm (No. 127)
One atom of each set of equivalent atoms:
Zn (0.117, 0.383, 0.000) x4
In (0.185, 0.685, 0.500) x4
Au (0.000, 0.000, 0.500) x2



Density functional theory data (GGA-PBE) for crystalline Zn2In2Au at its relaxed geometry.

* ΔH_f (0 K): 0.243 eV per atom
* energy above the lowest structure with this stoichiometry: 0.261 eV per atom

Cell lengths 4.128, 4.128, 12.917 Å; angles 90.00, 90.00, 90.00 degrees
Space group I4/mmm (No. 139)
One atom of each set of equivalent atoms:
Zn (0.000, 0.000, 0.092) x4
In (0.000, 0.500, 0.250) x4
Au (0.000, 0.000, 0.500) x2



Density functional theory data (GGA-PBE) for crystalline Zn6InAu8 at its relaxed geometry.

* ΔH_f (0 K): -0.129 eV per atom

Cell lengths 7.9885, 7.9885, 14.8923 Å; angles 90.00, 90.00, 120.00 degrees
Space group R-3 (No. 148, hexagonal axes)
One atom of each set of equivalent atoms:
Zn (0.0117, 0.2150, 0.3774) x18
In (0.0000, 0.0000, 0.0000) x3
Au (0.0000, 0.0000, 0.2290) x6
Au (0.0114, 0.7045, 0.1186) x18



Density functional theory data (GGA-PBE) for crystalline Zn2InAu4 at its relaxed geometry.

* ΔH_f (0 K): -0.117 eV per atom
* energy above the lowest structure with this stoichiometry: 0.008 eV per atom

Cell lengths 4.4346, 4.4346, 23.4201 Å; angles 90.00, 90.00, 120.00 degrees
Space group R-3m (No. 166, hexagonal axes)
One atom of each set of equivalent atoms:
Zn (0.0000, 0.0000, 0.2423) x6
In (0.0000, 0.0000, 0.0000) x3
Au (0.0000, 0.0000, 0.1301) x6
Au (0.0000, 0.0000, 0.3924) x6



Density functional theory data (GGA-PBE) for crystalline Zn3InAu6 at its relaxed geometry.

* ΔH_f (0 K): -0.134 eV per atom
* energy above the lowest structure with this stoichiometry: 0.030 eV per atom

Cell lengths 8.276, 13.745, 6.790 Å; angles 90.00, 90.00, 90.00 degrees
Space group Cmc2_1 (No. 36)
One atom of each set of equivalent atoms:
Zn (0.000, 0.088, 0.000) x4
Zn (0.199, 0.399, 0.207) x8
In (0.000, 0.334, 0.636) x4
Au (0.000, 0.241, 0.272) x4
Au (0.000, 0.481, 0.932) x4
Au (0.170, 0.058, 0.354) x8
Au (0.191, 0.244, 0.934) x8



Density functional theory data (GGA-PBE) for crystalline Zn2InAu2 at its relaxed geometry.

* ΔH_f (0 K): -0.158 eV per atom
* energy above the lowest structure with this stoichiometry: 0.005 eV per atom

Cell lengths 4.523, 4.594, 9.436 Å; angles 90.00, 90.40, 90.00 degrees
Space group P2_1/m (No. 11)
One atom of each set of equivalent atoms:
Zn (0.241, 0.250, 0.005) x2
Zn (0.247, 0.250, 0.314) x2
In (0.269, 0.250, 0.691) x2
Au (0.236, 0.750, 0.486) x2
Au (0.256, 0.750, 0.854) x2



Density functional theory data (GGA-PBE) for crystalline Zn2InAu2 at its relaxed geometry.

* ΔH_f (0 K): -0.046 eV per atom
* energy above the lowest structure with this stoichiometry: 0.117 eV per atom

Cell lengths 4.035, 4.035, 12.176 Å; angles 90.00, 90.00, 90.00 degrees
Space group I4/mmm (No. 139)
One atom of each set of equivalent atoms:
Zn (0.000, 0.000, 0.102) x4
In (0.000, 0.000, 0.500) x2
Au (0.000, 0.500, 0.250) x4



Density functional theory data (GGA-PBE) for crystalline Zn2InAu2 at its relaxed geometry.

* ΔH_f (0 K): -0.149 eV per atom
* energy above the lowest structure with this stoichiometry: 0.014 eV per atom

Cell lengths 7.892, 7.892, 2.987 Å; angles 90.00, 90.00, 90.00 degrees
Space group P4/mbm (No. 127)
One atom of each set of equivalent atoms:
Zn (0.133, 0.367, 0.000) x4
In (0.000, 0.000, 0.500) x2
Au (0.162, 0.662, 0.500) x4



Density functional theory data (GGA-PBE) for crystalline Zn3InAu at its relaxed geometry.

* ΔH_f (0 K): 0.032 eV per atom
* energy above the lowest structure with this stoichiometry: 0.000 eV per atom

Cell lengths 6.3912, 6.3912, 5.7036 Å; angles 90.00, 90.00, 120.00 degrees
Space group P6_3/mmc (No. 194)
One atom of each set of equivalent atoms:
Zn (0.2003, 0.4005, 0.2500) x6
In (0.3333, 0.6667, 0.7500) x2
Au (0.0000, 0.0000, 0.0000) x2



Density functional theory data (GGA-PBE) for crystalline Zn2In2Au5 at its relaxed geometry.

* ΔH_f (0 K): -0.125 eV per atom
* energy above the lowest structure with this stoichiometry: 0.000 eV per atom

Cell lengths 13.910, 6.902, 7.336 Å; angles 90.00, 90.00, 90.00 degrees
Space group Cmce (No. 64)
One atom of each set of equivalent atoms:
Zn (0.000, 0.144, 0.138) x8
In (0.207, 0.000, 0.500) x8
Au (0.000, 0.000, 0.500) x4
Au (0.126, 0.150, 0.838) x16



Density functional theory data (GGA-PBE) for crystalline Zn2InAu2 at its relaxed geometry.

* ΔH_f (0 K): -0.163 eV per atom
* energy above the lowest structure with this stoichiometry: 0.000 eV per atom

Cell lengths 3.787, 3.787, 13.331 Å; angles 90.00, 90.00, 90.00 degrees
Space group I4/mmm (No. 139)
One atom of each set of equivalent atoms:
Zn (0.000, 0.500, 0.250) x4
In (0.000, 0.000, 0.000) x2
Au (0.000, 0.000, 0.393) x4



Density functional theory data (GGA-PBE) for crystalline ZnInAu4 at its relaxed geometry.

* ΔH_f (0 K): -0.131 eV per atom
* energy above the lowest structure with this stoichiometry: 0.000 eV per atom

Cell lengths 17.986, 5.345, 4.801 Å; angles 90.00, 105.24, 90.00 degrees
Space group C2/c (No. 15)
One atom of each set of equivalent atoms:
Zn (0.250, 0.250, 0.000) x4
In (0.000, 0.193, 0.250) x4
Au (0.089, 0.325, 0.839) x8
Au (0.172, 0.181, 0.422) x8



Density functional theory data (GGA-PBE) for crystalline ZnIn2Au4 at its relaxed geometry.

* ΔH_f (0 K): -0.108 eV per atom
* energy above the lowest structure with this stoichiometry: 0.000 eV per atom

Cell lengths 6.810, 6.817, 7.873 Å; angles 115.44, 101.17, 106.16 degrees
Space group P1 (No. 1)
One atom of each set of equivalent atoms:
Zn (0.000, 0.000, 0.000) x1
Zn (0.327, 0.827, 0.501) x1
In (0.163, 0.415, 0.750) x1
In (0.662, 0.413, 0.250) x1
In (0.663, 0.414, 0.750) x1
In (0.663, 0.914, 0.251) x1
Au (0.044, 0.329, 0.351) x1
Au (0.281, 0.499, 0.149) x1
Au (0.348, 0.133, 0.852) x1
Au (0.357, 0.125, 0.338) x1
Au (0.539, 0.807, 0.838) x1
Au (0.788, 0.022, 0.664) x1
Au (0.968, 0.703, 0.163) x1
Au (0.977, 0.694, 0.648) x1



Density functional theory data (GGA-PBE) for crystalline Zn2InAu4 at its relaxed geometry.

* ΔH_f (0 K): -0.126 eV per atom
* energy above the lowest structure with this stoichiometry: 0.000 eV per atom

Cell lengths 4.851, 7.837, 13.479 Å; angles 90.00, 90.00, 90.00 degrees
Space group Cmcm (No. 63)
One atom of each set of equivalent atoms:
Zn (0.000, 0.150, 0.056) x8
In (0.000, 0.441, 0.250) x4
Au (0.000, 0.096, 0.250) x4
Au (0.000, 0.224, 0.636) x8
Au (0.000, 0.500, 0.000) x4



Density functional theory data (GGA-PBE) for crystalline Zn5InAu8 at its relaxed geometry.

* ΔH_f (0 K): -0.121 eV per atom

Cell lengths 7.943, 7.943, 8.069 Å; angles 90.00, 90.00, 90.00 degrees
Space group I-4 (No. 82)
One atom of each set of equivalent atoms:
Zn (0.000, 0.000, 0.000) x2
Zn (0.129, 0.224, 0.595) x8
In (0.000, 0.500, 0.250) x2
Au (0.070, 0.330, 0.928) x8
Au (0.101, 0.157, 0.271) x8



| no. | N(E_F) (states/eV per atom) | calculated volume (Å³/atom) |
| --- | --- | --- |
| 1 | 0.30 | 22.27 |
| 2 | 0.35 | 21.85 |
| 3 | 0.32 | 18.23 |
| 4 | 0.16 | 21.78 |
| 5 | 0.27 | 19.40 |
| 6 | 0.26 | 18.99 |
| 7 | 0.23 | 20.95 |
| 8 | 0.23 | 21.58 |
| 9 | 0.37 | 22.01 |
| 10 | 0.24 | 18.29 |
| 11 | 0.33 | 18.99 |
| 12 | 0.24 | 19.31 |
| 13 | 0.13 | 19.60 |
| 14 | 0.34 | 19.83 |
| 15 | 0.25 | 18.60 |
| 16 | 0.18 | 20.18 |
| 17 | 0.27 | 19.56 |
| 18 | 0.35 | 19.12 |
| 19 | 0.20 | 18.55 |
| 20 | 0.32 | 21.11 |
| 21 | 0.27 | 18.30 |
| 22 | 0.41 | 18.18 |